An optimized crystal structure of TlVCl2F. Source: Alexandria, functional GGA+U.

a b c (Å): 5.1761 5.1761 4.1740
angles (deg): 90.00 90.00 90.00
Closest atoms and distances in Å follow each position.
Space group P4/mmm (No. 123)
Asymmetric unit:
Tl1 0.0000 0.0000 0.0000 x1  8 Cl 3.32, 4 F 3.66
V1 0.5000 0.5000 0.5000 x1  2 F 2.09
Cl1 0.0000 0.5000 0.5000 x2  2 V 2.59
F1 0.5000 0.5000 0.0000 x1  2 V 2.09

Calculated values
E = -23.08 eV per formula unit